Record 1
The following is a PBE-GGA calculation of crystalline CsCo2Br5 at its relaxed geometry, from OQMD via LeMat-Bulk.

a b c (Å): 10.1883 10.1883 10.1883
angles (deg): 133.31 133.31 68.16
With the nearest neighbours (Å) after each atom.
Atoms (fractional coordinates):
Br: 0.0000 0.0000 0.0000  4 Co 2.88
Br: 0.5000 0.5000 0.0000  4 Co 2.88
Br: 0.2060 0.7060 0.1730  1 Co 2.29
Br: 0.4670 0.9670 0.1730  1 Co 2.29
Br: 0.0330 0.2060 0.5000  1 Co 2.29
Br: 0.2940 0.4670 0.5000  1 Co 2.29
Br: 0.7060 0.5330 0.5000  1 Co 2.29
Br: 0.9670 0.7940 0.5000  1 Co 2.29
Br: 0.5330 0.0330 0.8270  1 Co 2.29
Br: 0.7940 0.2940 0.8270  1 Co 2.29
Co: 0.2824 0.7824 0.0648  2 Br 2.29
Co: 0.2176 0.2824 0.5000  2 Br 2.29
Co: 0.7824 0.7176 0.5000  2 Br 2.29
Co: 0.7176 0.2176 0.9352  2 Br 2.29
Cs: 0.2500 0.2500 0.0000  8 Br 3.63
Cs: 0.7500 0.7500 0.0000  8 Br 3.63

## Properties
**Offset from the most stable computed form**: 0.177 eV per atom

Record 2
The following is a PBE-GGA calculation of crystalline CsCo2Br5 at its relaxed geometry, from OQMD via LeMat-Bulk.

a b c (Å): 8.5765 5.6261 11.6363
angles (deg): 90.00 108.06 90.00
With the nearest neighbours (Å) after each atom.
Atoms (fractional coordinates):
Br: 0.1996 0.2500 0.1114  1 Co 2.34
Br: 0.6993 0.2500 0.1281  1 Co 2.32
Br: 0.4915 0.7500 0.2372  1 Co 2.35
Br: 0.5864 0.2500 0.4372  2 Co 2.46-2.53
Br: 0.1105 0.2500 0.4473  1 Co 2.31
Br: 0.8895 0.7500 0.5527  1 Co 2.31
Br: 0.4136 0.7500 0.5628  2 Co 2.46-2.53
Br: 0.5085 0.2500 0.7628  1 Co 2.35
Br: 0.3007 0.7500 0.8719  1 Co 2.32
Br: 0.8004 0.7500 0.8886  1 Co 2.34
Co: 0.4828 0.2500 0.2082  3 Br 2.32-2.53
Co: 0.6117 0.7500 0.4487  3 Br 2.31-2.46
Co: 0.3883 0.2500 0.5513  3 Br 2.31-2.46
Co: 0.5172 0.7500 0.7918  3 Br 2.32-2.53
Cs: 0.9944 0.7500 0.2266  8 Br 3.72-4.16
Cs: 0.0056 0.2500 0.7734  8 Br 3.72-4.16

## Properties
**Offset from the most stable computed form**: 0.000 eV per atom

Record 3
The following is a PBE-GGA calculation of crystalline Cs2CoCuBr6 at its relaxed geometry, from OQMD via LeMat-Bulk.

a b c (Å): 7.4289 7.4289 7.4289
angles (deg): 60.00 60.00 60.00
With the nearest neighbours (Å) after each atom.
Atoms (fractional coordinates):
Br: 0.7541 0.2459 0.2459  1 Co 2.58, 1 Cu 2.67
Br: 0.2459 0.7541 0.2459  1 Co 2.58, 1 Cu 2.67
Br: 0.7541 0.7541 0.2459  1 Co 2.58, 1 Cu 2.67
Br: 0.7541 0.2459 0.7541  1 Co 2.58, 1 Cu 2.67
Br: 0.2459 0.7541 0.7541  1 Co 2.58, 1 Cu 2.67
Br: 0.2459 0.2459 0.7541  1 Co 2.58, 1 Cu 2.67
Co: 0.0000 0.0000 0.0000  6 Br 2.58
Cs: 0.2500 0.2500 0.2500  12 Br 3.71
Cs: 0.7500 0.7500 0.7500  12 Br 3.71
Cu: 0.5000 0.5000 0.5000  6 Br 2.67

## Properties
**Final energy**: -3.1056 eV per atom

Record 4
The following is a PBE-GGA calculation of crystalline Cs2HfCoBr6 at its relaxed geometry, from OQMD via LeMat-Bulk.

a b c (Å): 7.5933 7.5933 7.5933
angles (deg): 60.05 60.05 60.05
With the nearest neighbours (Å) after each atom.
Atoms (fractional coordinates):
Br: 0.7492 0.7492 0.2505  1 Co 2.68, 1 Hf 2.69
Br: 0.7495 0.2508 0.2508  1 Co 2.68, 1 Hf 2.69
Br: 0.2508 0.7495 0.2508  1 Co 2.68, 1 Hf 2.69
Br: 0.7492 0.2505 0.7492  1 Co 2.68, 1 Hf 2.69
Br: 0.2505 0.7492 0.7492  1 Co 2.68, 1 Hf 2.69
Br: 0.2508 0.2508 0.7495  1 Co 2.68, 1 Hf 2.69
Co: 0.5000 0.5000 0.5000  6 Br 2.68
Cs: 0.2501 0.2501 0.2501  12 Br 3.80
Cs: 0.7499 0.7499 0.7499  12 Br 3.80
Hf: 0.0000 0.0000 0.0000  6 Br 2.69

## Properties
**Final energy**: -3.9707 eV per atom

Record 5
The following is a PBE-GGA calculation of crystalline Cs2CoHgBr6 at its relaxed geometry, from OQMD via LeMat-Bulk.

a b c (Å): 7.7408 7.7408 7.7408
angles (deg): 60.00 60.00 60.00
With the nearest neighbours (Å) after each atom.
Atoms (fractional coordinates):
Br: 0.7633 0.2367 0.2367  1 Co 2.59, 1 Hg 2.88
Br: 0.2367 0.7633 0.2367  1 Co 2.59, 1 Hg 2.88
Br: 0.7633 0.7633 0.2367  1 Co 2.59, 1 Hg 2.88
Br: 0.2367 0.2367 0.7633  1 Co 2.59, 1 Hg 2.88
Br: 0.7633 0.2367 0.7633  1 Co 2.59, 1 Hg 2.88
Br: 0.2367 0.7633 0.7633  1 Co 2.59, 1 Hg 2.88
Co: 0.0000 0.0000 0.0000  6 Br 2.59
Cs: 0.2500 0.2500 0.2500  12 Br 3.87
Cs: 0.7500 0.7500 0.7500  12 Br 3.87
Hg: 0.5000 0.5000 0.5000  6 Br 2.88

## Properties
**Final energy**: -2.8022 eV per atom

Record 6
The following is a PBE-GGA calculation of crystalline Cs2NaCoBr6 at its relaxed geometry, from OQMD via LeMat-Bulk.

a b c (Å): 7.6498 7.6498 7.6498
angles (deg): 60.00 60.00 60.00
With the nearest neighbours (Å) after each atom.
Atoms (fractional coordinates):
Br: 0.7736 0.2264 0.2264  1 Co 2.45
Br: 0.2264 0.7736 0.2264  1 Co 2.45
Br: 0.7736 0.7736 0.2264  1 Co 2.45
Br: 0.2264 0.2264 0.7736  1 Co 2.45
Br: 0.7736 0.2264 0.7736  1 Co 2.45
Br: 0.2264 0.7736 0.7736  1 Co 2.45
Co: 0.0000 0.0000 0.0000  6 Br 2.45
Cs: 0.2500 0.2500 0.2500  12 Br 3.83
Cs: 0.7500 0.7500 0.7500  12 Br 3.83
Na: 0.5000 0.5000 0.5000  6 Br 2.96

## Properties
**Final energy**: -3.1387 eV per atom

Record 7
The following is a PBE-GGA calculation of crystalline Cs2CoPdBr6 at its relaxed geometry, from OQMD via LeMat-Bulk.

a b c (Å): 7.4760 7.4760 7.4760
angles (deg): 60.00 60.00 60.00
With the nearest neighbours (Å) after each atom.
Atoms (fractional coordinates):
Br: 0.7557 0.2443 0.2443  1 Co 2.58, 1 Pd 2.70
Br: 0.2443 0.7557 0.2443  1 Co 2.58, 1 Pd 2.70
Br: 0.7557 0.7557 0.2443  1 Co 2.58, 1 Pd 2.70
Br: 0.2443 0.2443 0.7557  1 Co 2.58, 1 Pd 2.70
Br: 0.7557 0.2443 0.7557  1 Co 2.58, 1 Pd 2.70
Br: 0.2443 0.7557 0.7557  1 Co 2.58, 1 Pd 2.70
Co: 0.0000 0.0000 0.0000  6 Br 2.58
Cs: 0.2500 0.2500 0.2500  12 Br 3.74
Cs: 0.7500 0.7500 0.7500  12 Br 3.74
Pd: 0.5000 0.5000 0.5000  6 Br 2.70

## Properties
**Final energy**: -3.2472 eV per atom

Record 8
The following is a PBE-GGA calculation of crystalline K2CoCuBr6 at its relaxed geometry, from OQMD via LeMat-Bulk.

a b c (Å): 7.2608 7.2608 7.2608
angles (deg): 60.00 60.00 60.00
With the nearest neighbours (Å) after each atom.
Atoms (fractional coordinates):
Br: 0.7534 0.2466 0.2466  1 Co 2.53, 1 Cu 2.60
Br: 0.2466 0.7534 0.2466  1 Co 2.53, 1 Cu 2.60
Br: 0.7534 0.7534 0.2466  1 Co 2.53, 1 Cu 2.60
Br: 0.2466 0.2466 0.7534  1 Co 2.53, 1 Cu 2.60
Br: 0.7534 0.2466 0.7534  1 Co 2.53, 1 Cu 2.60
Br: 0.2466 0.7534 0.7534  1 Co 2.53, 1 Cu 2.60
Co: 0.0000 0.0000 0.0000  6 Br 2.53
Cu: 0.5000 0.5000 0.5000  6 Br 2.60
K: 0.2500 0.2500 0.2500  12 Br 3.63
K: 0.7500 0.7500 0.7500  12 Br 3.63

## Properties
**Final energy**: -3.1232 eV per atom